(1)
The following is a DFT calculation (GGA-PBE) of a relaxed V3AsIr crystal.

a = 4.667 Å, b = 4.667 Å, c = 4.667 Å
α = 90.00°, β = 90.00°, γ = 90.00°
Each line ends with the local moment (μB).
Element x y z (fractional)
As  0.500  0.500  0.500  -0.14
Ir  0.000  0.000  0.000  -0.21
V  0.000  0.500  0.000  1.44
V  0.000  0.000  0.500  1.44
V  0.500  0.000  0.000  1.44

Values from the calculation:
DOS(E_F) ... 8.38 states/eV per cell
Total magnetization ... 4.5 μB/f.u.
ΔE to the lowest computed polymorph ... 36 kJ/mol of formula units
V ... 20.33 Å³ per atom

(2)
The following is a DFT calculation (GGA-PBE) of a relaxed V2AsIr2 crystal.

a = 7.440 Å, b = 7.440 Å, c = 2.771 Å
α = 90.00°, β = 90.00°, γ = 90.00°
Element x y z (fractional)
As  0.000  0.000  0.000
As  0.500  0.500  0.000
Ir  0.364  0.864  0.000
Ir  0.864  0.636  0.000
Ir  0.636  0.136  0.000
Ir  0.136  0.364  0.000
V  0.156  0.656  0.500
V  0.656  0.844  0.500
V  0.844  0.344  0.500
V  0.344  0.156  0.500

Values from the calculation:
DOS(E_F) ... 7.26 states/eV per cell
Total magnetization ... 0.0 μB/f.u.
ΔE to the lowest computed polymorph ... 0 kJ/mol of formula units
V ... 15.34 Å³ per atom

(3)
The following is a DFT calculation (GGA-PBE) of a relaxed V2AsIr crystal.

a = 4.336 Å, b = 4.336 Å, c = 4.336 Å
α = 60.00°, β = 60.00°, γ = 60.00°
Each line ends with the local moment (μB).
Element x y z (fractional)
As  0.000  0.000  0.000  0.00
Ir  0.500  0.500  0.500  0.10
V  0.250  0.250  0.250  0.72
V  0.750  0.750  0.750  0.72

Values from the calculation:
DOS(E_F) ... 6.32 states/eV per cell
Total magnetization ... 1.7 μB/f.u.
ΔE to the lowest computed polymorph ... 79 kJ/mol of formula units
V ... 14.41 Å³ per atom

(4)
The following is a DFT calculation (GGA-PBE) of a relaxed V2AsIr2 crystal.

a = 4.021 Å, b = 4.021 Å, c = 6.036 Å
α = 70.54°, β = 70.54°, γ = 90.00°
Element x y z (fractional)
As  0.000  0.000  0.000
Ir  0.379  0.379  0.242
Ir  0.621  0.621  0.758
V  0.750  0.250  0.500
V  0.250  0.750  0.500

Values from the calculation:
DOS(E_F) ... 3.76 states/eV per cell
Total magnetization ... 0.0 μB/f.u.
ΔE to the lowest computed polymorph ... 123 kJ/mol of formula units
V ... 17.22 Å³ per atom

(5)
The following is a DFT calculation (GGA-PBE) of a relaxed V2As2Ir crystal.

a = 6.853 Å, b = 6.853 Å, c = 3.135 Å
α = 90.00°, β = 90.00°, γ = 90.00°
Element x y z (fractional)
As  0.339  0.839  0.000
As  0.839  0.661  0.000
As  0.661  0.161  0.000
As  0.161  0.339  0.000
Ir  0.000  0.000  0.000
Ir  0.500  0.500  0.000
V  0.133  0.633  0.500
V  0.633  0.867  0.500
V  0.867  0.367  0.500
V  0.367  0.133  0.500

Values from the calculation:
Uncorrected energy ... -7.424 eV per atom
DOS(E_F) ... 7.89 states/eV per cell
Total magnetization ... 0.0 μB/f.u.
V ... 14.72 Å³ per atom

(6)
The following is a DFT calculation (GGA-PBE) of a relaxed VAs2Ir crystal.

a = 2.950 Å, b = 2.950 Å, c = 8.605 Å
α = 80.13°, β = 80.13°, γ = 60.00°
Element x y z (fractional)
As  0.095  0.095  0.716
As  0.905  0.905  0.284
Ir  0.000  0.000  0.000
V  0.500  0.500  0.500

Values from the calculation:
DOS(E_F) ... 3.07 states/eV per cell
Total magnetization ... 0.0 μB/f.u.
ΔE to the lowest computed polymorph ... 0 kJ/mol of formula units
V ... 15.89 Å³ per atom

(7)
The following is a DFT calculation (GGA-PBE) of a relaxed V3AsIr crystal.

a = 4.388 Å, b = 4.388 Å, c = 4.388 Å
α = 90.00°, β = 90.00°, γ = 90.00°
Element x y z (fractional)
As  0.000  0.000  0.000
Ir  0.500  0.500  0.500
V  0.000  0.500  0.000
V  0.000  0.000  0.500
V  0.500  0.000  0.000

Values from the calculation:
DOS(E_F) ... 6.30 states/eV per cell
Total magnetization ... 0.0 μB/f.u.
ΔE to the lowest computed polymorph ... 0 kJ/mol of formula units
V ... 16.89 Å³ per atom

(8)
The following is a DFT calculation (GGA-PBE) of a relaxed VAs2Ir2 crystal.

a = 4.540 Å, b = 4.540 Å, c = 4.551 Å
α = 90.00°, β = 90.00°, γ = 90.00°
Element x y z (fractional)
As  0.000  0.500  0.000
As  0.500  0.000  0.000
Ir  0.500  0.500  0.500
Ir  0.000  0.000  0.500
V  0.000  0.000  0.000

Values from the calculation:
Uncorrected energy ... -6.163 eV per atom
DOS(E_F) ... 3.71 states/eV per cell
Total magnetization ... 0.0 μB/f.u.
V ... 18.76 Å³ per atom